Crystalline Pm2CoTc2N6 at its relaxed geometry, computed with PBE.

Unit cell a=5.8311 b=5.8311 c=15.4341 alpha=90.00 beta=90.00 gamma=120.00
Space group R-3m (No. 166, hexagonal axes)
Asymmetric unit:
Pm (0.0000, 0.0000, 0.2014)
Co (0.0000, 0.0000, 0.0000)
Tc (0.0000, 0.0000, 0.4241)
N (0.0301, 0.5151, 0.7445)

uncorrected formation energy: -0.18 eV/atom
V: 454.5 Å³/cell



Crystalline ZnCoGe2 at its relaxed geometry, computed with PBE.

Unit cell a=3.0137 b=3.0137 c=24.6132 alpha=90.00 beta=90.00 gamma=120.00
Space group R-3m (No. 166, hexagonal axes)
Asymmetric unit:
Zn (0.0000, 0.0000, 0.0000)
Co (0.0000, 0.0000, 0.5000)
Ge (0.0000, 0.0000, 0.0992)

formation energy from the elements: 0.046 eV/atom
V: 193.6 Å³/cell



Crystalline ZrSi2As at its relaxed geometry, computed with PBE.

Unit cell a=3.596 b=3.596 c=5.405 alpha=90.00 beta=90.00 gamma=90.00
Space group P4mm (No. 99)
Asymmetric unit:
Zr (0.000, 0.000, 0.000)
Si (0.000, 0.000, 0.516)
Si (0.500, 0.500, 0.718)
As (0.500, 0.500, 0.243)

uncorrected formation energy: -0.28 eV/atom
V: 69.9 Å³/cell